The following is a PBE-GGA calculation of a relaxed structure of CaMg3O, from Alexandria.

Values from the calculation:
Uncorrected formation energy ... 1.23 eV/atom
Uncorrected energy ... -5.6 eV per formula unit
Space group ... Pm-3m (221)

Cell: 6.199 6.199 6.199 Å, 90.00 90.00 90.00°
Positions (direct):
Ca: 0.000 0.000 0.000
Mg: 0.000 0.000 0.500
Mg: 0.000 0.500 0.000
Mg: 0.500 0.000 0.000
O: 0.500 0.500 0.500

***

The following is a PBE-GGA calculation of a relaxed structure of SrReSe2, from Alexandria.

Values from the calculation:
Uncorrected formation energy ... 0.09 eV/atom
Uncorrected energy ... -20.7 eV per formula unit
Space group ... R-3m (166)

Cell: 4.668 4.668 23.940 Å, 90.00 90.00 120.00°
Positions (direct):
Sr: 0.000 0.000 0.000
Sr: 0.333 0.667 0.667
Sr: 0.667 0.333 0.333
Re: 0.000 0.000 0.500
Re: 0.333 0.667 0.167
Re: 0.667 0.333 0.833
Se: 0.000 0.000 0.399
Se: 0.000 0.000 0.601
Se: 0.333 0.667 0.065
Se: 0.333 0.667 0.268
Se: 0.667 0.333 0.732
Se: 0.667 0.333 0.935

***

The following is a PBE-GGA calculation of a relaxed structure of Pr6PdRh2I3, from Alexandria.

Values from the calculation:
Uncorrected formation energy ... -0.92 eV/atom
Uncorrected energy ... -64.3 eV per formula unit
Space group ... C2/m (12)

Cell: 7.340 7.340 8.563 Å, 98.22 98.22 119.99°
Positions (direct):
Pr: 0.095 0.438 0.813
Pr: 0.220 0.220 0.187
Pr: 0.438 0.095 0.813
Pr: 0.562 0.905 0.187
Pr: 0.780 0.780 0.813
Pr: 0.905 0.562 0.187
Pd: 0.500 0.500 0.000
Rh: 0.167 0.833 0.000
Rh: 0.833 0.167 0.000
I: 0.000 0.000 0.500
I: 0.333 0.667 0.500
I: 0.667 0.333 0.500

***

The following is a PBE-GGA calculation of a relaxed structure of PmPrYAl, from Alexandria.

Values from the calculation:
Uncorrected energy ... -20.5 eV per formula unit
Space group ... P4mm (99)
Energy of formation from the pure elements ... -0.185 eV/atom

Cell: 3.572 3.572 9.301 Å, 90.00 90.00 90.00°
Positions (direct):
Pm: 0.000 0.000 0.000
Pr: 0.500 0.500 0.297
Y: 0.000 0.000 0.583
Al: 0.500 0.500 0.786

***

The following is a PBE-GGA calculation of a relaxed structure of ZrScCdTc, from Alexandria.

Values from the calculation:
Uncorrected energy ... -26.9 eV per formula unit
Space group ... F-43m (216)
Energy of formation from the pure elements ... -0.191 eV/atom

Cell: 6.777 6.777 6.777 Å, 90.00 90.00 90.00°
Positions (direct):
Zr: 0.000 0.000 0.000
Zr: 0.000 0.500 0.500
Zr: 0.500 0.000 0.500
Zr: 0.500 0.500 0.000
Sc: 0.000 0.000 0.500
Sc: 0.000 0.500 0.000
Sc: 0.500 0.000 0.000
Sc: 0.500 0.500 0.500
Cd: 0.250 0.250 0.750
Cd: 0.250 0.750 0.250
Cd: 0.750 0.250 0.250
Cd: 0.750 0.750 0.750
Tc: 0.250 0.250 0.250
Tc: 0.250 0.750 0.750
Tc: 0.750 0.250 0.750
Tc: 0.750 0.750 0.250

***

The following is a PBE-GGA calculation of a relaxed structure of Al3Zn3Ga, from Alexandria.

Values from the calculation:
Uncorrected energy ... -14.0 eV per formula unit
Space group ... Pm-3n (223)
Energy of formation from the pure elements ... 0.583 eV/atom

Cell: 7.068 7.068 7.068 Å, 90.00 90.00 90.00°
Positions (direct):
Al: 0.000 0.250 0.500
Al: 0.000 0.750 0.500
Al: 0.250 0.500 0.000
Al: 0.500 0.000 0.250
Al: 0.500 0.000 0.750
Al: 0.750 0.500 0.000
Zn: 0.000 0.500 0.250
Zn: 0.000 0.500 0.750
Zn: 0.250 0.000 0.500
Zn: 0.500 0.250 0.000
Zn: 0.500 0.750 0.000
Zn: 0.750 0.000 0.500
Ga: 0.000 0.000 0.000
Ga: 0.500 0.500 0.500

***

The following is a PBE-GGA calculation of a relaxed structure of Ho2CoOs, from Alexandria.

Values from the calculation:
Uncorrected energy ... -28.1 eV per formula unit
Space group ... Fm-3m (225)
Energy of formation from the pure elements ... -0.152 eV/atom

Cell: 6.725 6.725 6.725 Å, 90.00 90.00 90.00°
Positions (direct):
Ho: 0.250 0.250 0.250
Ho: 0.250 0.250 0.750
Ho: 0.250 0.750 0.250
Ho: 0.250 0.750 0.750
Ho: 0.750 0.250 0.250
Ho: 0.750 0.250 0.750
Ho: 0.750 0.750 0.250
Ho: 0.750 0.750 0.750
Co: 0.000 0.000 0.000
Co: 0.000 0.500 0.500
Co: 0.500 0.000 0.500
Co: 0.500 0.500 0.000
Os: 0.000 0.000 0.500
Os: 0.000 0.500 0.000
Os: 0.500 0.000 0.000
Os: 0.500 0.500 0.500

***

The following is a PBE-GGA calculation of a relaxed structure of LiP2F8, from Alexandria.

Values from the calculation:
Uncorrected formation energy ... -2.25 eV/atom
Uncorrected energy ... -52.5 eV per formula unit
Space group ... C2/m (12)

Cell: 6.049 6.049 4.704 Å, 92.76 92.76 81.25°
Positions (direct):
Li: 0.000 0.000 0.000
P: 0.259 0.259 0.438
P: 0.741 0.741 0.562
F: 0.015 0.320 0.278
F: 0.129 0.129 0.705
F: 0.320 0.015 0.278
F: 0.384 0.384 0.199
F: 0.616 0.616 0.801
F: 0.680 0.985 0.722
F: 0.871 0.871 0.295
F: 0.985 0.680 0.722